# 1
Density functional theory data (GGA-PBE) for an optimized crystal structure of TbMg2NpO8.

## Properties
E_form (uncorrected) = -29.544 eV/f.u.

Cell and atoms, written as CIF:
```
data_TbMg2NpO8
_cell_length_a 4.6632
_cell_length_b 6.9873
_cell_length_c 4.7261
_cell_angle_alpha 90.00
_cell_angle_beta 91.31
_cell_angle_gamma 90.00
_symmetry_space_group_name_H-M 'P 1 2/m 1'
_symmetry_Int_Tables_number 10
loop_
_symmetry_equiv_pos_as_xyz
'x,y,z'
'-x,-y,-z'
'-x,y,-z'
'x,-y,z'
loop_
_atom_site_label
_atom_site_type_symbol
_atom_site_fract_x
_atom_site_fract_y
_atom_site_fract_z
Tb1 Tb 0.0000 0.0000 0.0000
Mg1 Mg 0.5000 0.2777 0.5000
Np1 Np 0.0000 0.5000 0.0000
O1 O 0.2091 0.2695 0.8279
O2 O 0.2793 0.5000 0.3168
O3 O 0.3540 0.0000 0.4187
```

---

# 2
Density functional theory data (GGA-PBE) for an optimized crystal structure of Ac2ZrTiO6.

## Properties
E_form (uncorrected) = -31.019 eV/f.u.

Cell and atoms, written as CIF:
```
data_Ac2ZrTiO6
_cell_length_a 8.2391
_cell_length_b 8.2245
_cell_length_c 5.8271
_cell_angle_alpha 90.00
_cell_angle_beta 134.91
_cell_angle_gamma 90.00
_symmetry_space_group_name_H-M 'C 1 2/m 1'
_symmetry_Int_Tables_number 12
loop_
_symmetry_equiv_pos_as_xyz
'x,y,z'
'-x,-y,-z'
'-x,y,-z'
'x,-y,z'
'x+1/2,y+1/2,z'
'-x+1/2,-y+1/2,-z'
'-x+1/2,y+1/2,-z'
'x+1/2,-y+1/2,z'
loop_
_atom_site_label
_atom_site_type_symbol
_atom_site_fract_x
_atom_site_fract_y
_atom_site_fract_z
Ac1 Ac 0.0000 0.2501 0.0000
Zr1 Zr 0.0000 0.0000 0.5000
Ti1 Ti 0.0000 0.5000 0.5000
O1 O 0.0000 0.2564 0.5000
O2 O 0.2436 0.5000 0.4999
O3 O 0.2437 0.5000 0.9875
```

---

# 3
Density functional theory data (GGA-PBE) for an optimized crystal structure of SiMoSCl2.

## Properties
E_form (uncorrected) = 1.523 eV/f.u.
distance to the lowest polymorph of the same formula = 0.000 eV per formula unit

Cell and atoms, written as CIF:
```
data_SiMoSCl2
_cell_length_a 4.8671
_cell_length_b 4.8671
_cell_length_c 4.7202
_cell_angle_alpha 90.00
_cell_angle_beta 90.00
_cell_angle_gamma 90.00
_symmetry_space_group_name_H-M 'P 4/m m m'
_symmetry_Int_Tables_number 123
_symmetry_space_group_name_Hall '-P 4 2'
loop_
_atom_site_label
_atom_site_type_symbol
_atom_site_fract_x
_atom_site_fract_y
_atom_site_fract_z
Si1 Si 0.0000 0.0000 0.0000
Mo1 Mo 0.5000 0.5000 0.5000
S1 S 0.5000 0.5000 0.0000
Cl1 Cl 0.0000 0.5000 0.5000
```

---

# 4
Density functional theory data (GGA-PBE) for an optimized crystal structure of PaGaSiGe.

## Properties
E_form (uncorrected) = -1.746 eV/f.u.

Cell and atoms, written as CIF:
```
data_PaGaSiGe
_cell_length_a 4.0897
_cell_length_b 4.2720
_cell_length_c 4.3311
_cell_angle_alpha 90.00
_cell_angle_beta 90.00
_cell_angle_gamma 90.00
_symmetry_space_group_name_H-M 'P m m m'
_symmetry_Int_Tables_number 47
loop_
_symmetry_equiv_pos_as_xyz
'x,y,z'
'-x,-y,-z'
'-x,-y,z'
'x,y,-z'
'x,-y,-z'
'-x,y,z'
'-x,y,-z'
'x,-y,z'
loop_
_atom_site_label
_atom_site_type_symbol
_atom_site_fract_x
_atom_site_fract_y
_atom_site_fract_z
Pa1 Pa 0.0000 0.0000 0.0000
Ga1 Ga 0.0000 0.5000 0.5000
Si1 Si 0.5000 0.5000 0.0000
Ge1 Ge 0.5000 0.0000 0.5000
```

---

# 5
Density functional theory data (GGA-PBE) for an optimized crystal structure of Tb2OsPt.

## Properties
energy of formation from the pure elements = -2.70 eV/f.u.

Cell and atoms, written as CIF:
```
data_Tb2OsPt
_cell_length_a 3.4725
_cell_length_b 3.4725
_cell_length_c 6.8780
_cell_angle_alpha 90.00
_cell_angle_beta 90.00
_cell_angle_gamma 90.00
_symmetry_space_group_name_H-M 'P 4/m m m'
_symmetry_Int_Tables_number 123
_symmetry_space_group_name_Hall '-P 4 2'
loop_
_atom_site_label
_atom_site_type_symbol
_atom_site_fract_x
_atom_site_fract_y
_atom_site_fract_z
Tb1 Tb 0.0000 0.0000 0.2438
Os1 Os 0.5000 0.5000 0.0000
Pt1 Pt 0.5000 0.5000 0.5000
```

---

# 6
Density functional theory data (GGA-PBE) for an optimized crystal structure of Tl2HgTeSe.

## Properties
E_form (uncorrected) = -1.380 eV/f.u.

Cell and atoms, written as CIF:
```
data_Tl2HgTeSe
_cell_length_a 7.9303
_cell_length_b 4.6715
_cell_length_c 9.1732
_cell_angle_alpha 90.00
_cell_angle_beta 97.16
_cell_angle_gamma 90.00
_symmetry_space_group_name_H-M 'P 1 21/m 1'
_symmetry_Int_Tables_number 11
loop_
_symmetry_equiv_pos_as_xyz
'x,y,z'
'-x,-y,-z'
'-x,y+1/2,-z'
'x,-y+1/2,z'
loop_
_atom_site_label
_atom_site_type_symbol
_atom_site_fract_x
_atom_site_fract_y
_atom_site_fract_z
Tl1 Tl 0.0853 0.2500 0.3813
Tl2 Tl 0.2562 0.2500 0.9713
Hg1 Hg 0.4347 0.7500 0.3323
Te1 Te 0.3559 0.7500 0.6613
Se1 Se 0.1301 0.7500 0.1668
```

---

# 7
Density functional theory data (GGA-PBE) for an optimized crystal structure of YZr2B6.

## Properties
energy of formation from the pure elements = -7.56 eV/f.u.

Cell and atoms, written as CIF:
```
data_YZr2B6
_cell_length_a 5.5706
_cell_length_b 5.5706
_cell_length_c 3.6480
_cell_angle_alpha 90.00
_cell_angle_beta 90.00
_cell_angle_gamma 120.00
_symmetry_space_group_name_H-M 'P 6/m m m'
_symmetry_Int_Tables_number 191
_symmetry_space_group_name_Hall '-P 6 2'
loop_
_atom_site_label
_atom_site_type_symbol
_atom_site_fract_x
_atom_site_fract_y
_atom_site_fract_z
Y1 Y 0.0000 0.0000 0.0000
Zr1 Zr 0.3333 0.6667 0.0000
B1 B 0.0000 0.3378 0.5000
```

---

# 8
Density functional theory data (GGA-PBE) for an optimized crystal structure of La2MnPt.

## Properties
energy of formation from the pure elements = -1.49 eV/f.u.

Cell and atoms, written as CIF:
```
data_La2MnPt
_cell_length_a 4.2721
_cell_length_b 4.2721
_cell_length_c 21.7808
_cell_angle_alpha 90.00
_cell_angle_beta 90.00
_cell_angle_gamma 120.00
_symmetry_space_group_name_H-M 'R 3 m'
_symmetry_Int_Tables_number 160
_symmetry_space_group_name_Hall 'R 3 -2"'
loop_
_atom_site_label
_atom_site_type_symbol
_atom_site_fract_x
_atom_site_fract_y
_atom_site_fract_z
La1 La 0.0000 0.0000 0.0000
La2 La 0.0000 0.0000 0.1809
Mn1 Mn 0.0000 0.0000 0.4229
Pt1 Pt 0.0000 0.0000 0.7574
```